K3CrIn3O8 | GGA+U | relaxed

```
data_K3CrIn3O8
_chemical_formula_sum 'K9 Cr3 In9 O24'
_cell_length_a 6.5057
_cell_length_b 6.5057
_cell_length_c 18.7744
_cell_angle_alpha 90.00
_cell_angle_beta 90.00
_cell_angle_gamma 120.00
_space_group_name_H-M_alt 'R -3 m'
_space_group_IT_number 166
_space_group_name_Hall '-R 3 2"'
loop_
_atom_site_label
_atom_site_fract_x
_atom_site_fract_y
_atom_site_fract_z
K1 0.0000 0.5000 0.0000
Cr1 0.0000 0.0000 0.5000
In1 0.0000 0.5000 0.5000
O1 0.0000 0.0000 0.2271
O2 0.0336 0.5168 0.2237
```

Values from the calculation:
magnetic moment	1.9	μB/f.u.
electronic total energy	-246.72	eV/cell